Li2MnP2O7: relaxed, PBE+U.

```
data_Li2MnP2O7
_chemical_formula_sum 'Li8 Mn4 P8 O28'
_symmetry_space_group_name_H-M 'P 1 21/c 1'
_symmetry_Int_Tables_number 14
_cell_length_a 5.1352
_cell_length_b 13.6366
_cell_length_c 9.4524
_cell_angle_alpha 90.00
_cell_angle_beta 121.29
_cell_angle_gamma 90.00
loop_
_symmetry_equiv_pos_as_xyz
'x,y,z'
'-x,-y,-z'
'-x,y+1/2,-z+1/2'
'x,-y+1/2,z+1/2'
loop_
_atom_site_label
_atom_site_fract_x
_atom_site_fract_y
_atom_site_fract_z
Li1 0.0444 0.1811 0.1953
Li2 0.4444 0.1667 0.6129
Mn1 0.1068 0.1311 0.8427
P1 0.2611 0.6838 0.0899
P2 0.4142 0.0140 0.2069
O1 0.0263 0.1891 0.5844
O2 0.2013 0.0945 0.0893
O3 0.2154 0.7460 0.2129
O4 0.2805 0.5716 0.1497
O5 0.2826 0.5398 0.7987
O6 0.4450 0.2090 0.4081
O7 0.4746 0.0592 0.8701
```

Values from the calculation:
Volume (Å³ per atom): 11.8
E above lowest polymorph (eV/atom): 0.031